# TiCoOsO6

A relaxed structure of TiCoOsO6 (PBE+U, Alexandria via LeMat-Bulk).

Computed properties:
ρ: 6.7 g cm⁻³
DOS(E_F): 7.75 states/eV per cell
symmetry: P-31c
VASP energy: -7.598 eV/atom

Cell: 5.039 5.039 8.923 Å, 90.00 90.00 120.00°
Each line ends with the local moment (μB).
Sites, in units of the cell vectors:
O 0.345 0.995 0.631  -0.05
O 0.651 0.655 0.631  -0.05
O 0.655 0.651 0.131  -0.05
O 0.651 0.995 0.869  -0.05
O 0.005 0.349 0.631  -0.05
O 0.995 0.345 0.131  -0.05
O 0.005 0.655 0.869  -0.05
O 0.995 0.651 0.369  -0.05
O 0.655 0.005 0.369  -0.05
O 0.349 0.345 0.369  -0.05
O 0.349 0.005 0.131  -0.05
O 0.345 0.349 0.869  -0.05
Ti 0.667 0.333 0.750  -0.03
Ti 0.333 0.667 0.250  -0.03
Co 0.000 0.000 0.500  2.62
Co 0.000 0.000 0.000  2.62
Os 0.667 0.333 0.250  -1.24
Os 0.333 0.667 0.750  -1.24